(1)
## TaPO5 (GGA-PBEsol)

Data for TaPO5 after structural relaxation.

## Properties
V in A^3/atom: 14.67
Total energy in eV per formula unit: -62.880

Lattice parameters (Å, degrees): 5.3740 6.7353 11.3503 90.02 90.00 90.00
Element x y z (fractional)
Ta 0.7500 0.1688 0.5629
Ta 0.2500 0.8312 0.4371
Ta 0.7500 0.3314 0.0630
Ta 0.2500 0.6686 0.9370
P 0.7500 0.9718 0.8462
P 0.2500 0.0282 0.1538
P 0.7500 0.5279 0.3463
P 0.2500 0.4721 0.6537
O 0.5000 0.5000 0.0000
O 0.0000 0.5000 0.0000
O 0.0000 0.0000 0.5000
O 0.5000 0.0000 0.5000
O 0.4851 0.1480 0.1284
O 0.9851 0.8520 0.8716
O 0.5149 0.8520 0.8716
O 0.0149 0.1480 0.1284
O 0.0149 0.3526 0.6278
O 0.5149 0.6474 0.3722
O 0.9851 0.6474 0.3722
O 0.4851 0.3526 0.6278
O 0.7500 0.4697 0.2152
O 0.2500 0.5303 0.7848
O 0.7500 0.0314 0.7153
O 0.2500 0.9686 0.2847
O 0.7500 0.3358 0.4196
O 0.2500 0.6642 0.5804
O 0.7500 0.1632 0.9202
O 0.2500 0.8368 0.0798

(2)
## ZrTaP2O (GGA-PBEsol)

Data for ZrTaP2O after structural relaxation.

## Properties
V in A^3/atom: 18.64
Total energy in eV per formula unit: -39.107

Lattice parameters (Å, degrees): 3.7854 4.9623 4.9623 90.00 90.00 90.00
Element x y z (fractional)
P 0.0000 0.0000 0.5000
P 0.0000 0.5000 0.0000
O 0.5000 0.0000 0.0000
Zr 0.0000 0.0000 0.0000
Ta 0.5000 0.5000 0.5000